DFT (PBE-GGA) results for an optimized crystal structure of LiNi2Ru.

```
data_LiNi2Ru
_chemical_formula_sum 'Li4 Ni8 Ru4'
_cell_length_a 5.803
_cell_length_b 5.803
_cell_length_c 5.803
_cell_angle_alpha 90.00
_cell_angle_beta 90.00
_cell_angle_gamma 90.00
_symmetry_space_group_name_H-M 'F m -3 m'
_symmetry_Int_Tables_number 225
_symmetry_space_group_name_Hall '-F 4 2 3'
loop_
_atom_site_label
_atom_site_type_symbol
_atom_site_fract_x
_atom_site_fract_y
_atom_site_fract_z
_atom_site_occupancy
Li1 Li 0.000 0.000 0.000 1
Ni1 Ni 0.250 0.250 0.250 1
Ru1 Ru 0.000 0.000 0.500 1
```

Computed properties:
As for the total magnetic moment: 12.0 μB/cell. The calculation puts the energy of formation at 17 kJ per mole of atoms. The value obtained for the energy above the lowest structure with this stoichiometry is 138.5 meV/atom.